1.
DFT (PBE-GGA) results for a geometry-optimized PuMgAu structure.

ΔH_f (0 K) ... -282 meV per atom
Total magnetization ... 5.87 μB per formula unit
Electronic total energy ... -6.6830 eV per atom

Lattice parameters (Å, degrees): 4.937 4.937 3.147 90.00 90.00 120.00
Atoms (fractional coordinates):
Pu (0.000, 0.000, 0.000)
Mg (0.667, 0.333, 0.500)
Au (0.333, 0.667, 0.500)

***

2.
DFT (PBE-GGA) results for a geometry-optimized PuMg4Au2 structure.

ΔH_f (0 K) ... -344 meV per atom
Total magnetization ... 5.91 μB per formula unit
Electronic total energy ... -4.2386 eV per atom

Lattice parameters (Å, degrees): 9.340 9.340 3.574 90.00 90.00 90.00
Atoms (fractional coordinates):
Pu (0.000, 0.000, 0.000)
Pu (0.500, 0.500, 0.500)
Mg (0.079, 0.318, 0.500)
Mg (0.182, 0.579, 0.000)
Mg (0.318, 0.079, 0.500)
Mg (0.421, 0.818, 0.000)
Mg (0.579, 0.182, 0.000)
Mg (0.682, 0.921, 0.500)
Mg (0.818, 0.421, 0.000)
Mg (0.921, 0.682, 0.500)
Au (0.195, 0.805, 0.500)
Au (0.305, 0.305, 0.000)
Au (0.695, 0.695, 0.000)
Au (0.805, 0.195, 0.500)

***

3.
DFT (PBE-GGA) results for a geometry-optimized Pu3MgAu4 structure.

ΔH_f (0 K) ... -452 meV per atom
Total magnetization ... 5.66 μB per formula unit
Electronic total energy ... -7.6646 eV per atom

Lattice parameters (Å, degrees): 3.324 3.324 15.931 90.00 90.00 90.00
Atoms (fractional coordinates):
Pu (0.000, 0.000, 0.000)
Pu (0.000, 0.000, 0.265)
Pu (0.000, 0.000, 0.735)
Mg (0.000, 0.000, 0.500)
Au (0.500, 0.500, 0.132)
Au (0.500, 0.500, 0.398)
Au (0.500, 0.500, 0.602)
Au (0.500, 0.500, 0.868)

***

4.
DFT (PBE-GGA) results for a geometry-optimized PuMg2Au8 structure.

ΔH_f (0 K) ... -343 meV per atom
Total magnetization ... 5.60 μB per formula unit
Electronic total energy ... -4.3197 eV per atom

Lattice parameters (Å, degrees): 8.429 8.429 5.160 107.74 107.74 125.59
Atoms (fractional coordinates):
Pu (0.000, 0.000, 0.000)
Mg (0.321, 0.679, 0.500)
Mg (0.679, 0.321, 0.500)
Au (0.096, 0.376, 0.739)
Au (0.198, 0.802, 0.000)
Au (0.376, 0.096, 0.739)
Au (0.497, 0.497, 0.745)
Au (0.503, 0.503, 0.255)
Au (0.624, 0.904, 0.261)
Au (0.802, 0.198, 0.000)
Au (0.904, 0.624, 0.261)

***

5.
DFT (PBE-GGA) results for a geometry-optimized PuMgAu structure.

ΔH_f (0 K) ... -263 meV per atom
Total magnetization ... 5.61 μB per formula unit
Electronic total energy ... -6.6639 eV per atom

Lattice parameters (Å, degrees): 7.523 7.523 7.523 37.57 37.57 37.57
Atoms (fractional coordinates):
Pu (0.137, 0.137, 0.137)
Pu (0.863, 0.863, 0.863)
Mg (0.296, 0.296, 0.296)
Mg (0.704, 0.704, 0.704)
Au (0.424, 0.424, 0.424)
Au (0.576, 0.576, 0.576)

***

6.
DFT (PBE-GGA) results for a geometry-optimized PuMgAu4 structure.

ΔH_f (0 K) ... -416 meV per atom
Total magnetization ... 5.44 μB per formula unit
Electronic total energy ... -5.2558 eV per atom

Lattice parameters (Å, degrees): 3.629 3.530 9.465 90.00 90.09 90.00
Atoms (fractional coordinates):
Pu (0.000, 0.000, 0.000)
Mg (0.500, 0.500, 0.500)
Au (0.000, 0.000, 0.349)
Au (0.000, 0.000, 0.651)
Au (0.499, 0.500, 0.189)
Au (0.501, 0.500, 0.811)

***

7.
DFT (PBE-GGA) results for a geometry-optimized PuMgAu structure.

ΔH_f (0 K) ... -341 meV per atom
Total magnetization ... 6.06 μB per formula unit
Electronic total energy ... -6.7419 eV per atom

Lattice parameters (Å, degrees): 4.235 4.235 7.889 90.00 90.00 90.00
Atoms (fractional coordinates):
Pu (0.250, 0.250, 0.130)
Pu (0.750, 0.750, 0.870)
Mg (0.250, 0.750, 0.500)
Mg (0.750, 0.250, 0.500)
Au (0.250, 0.250, 0.733)
Au (0.750, 0.750, 0.267)

***

8.
DFT (PBE-GGA) results for a geometry-optimized PuMgAu structure.

ΔH_f (0 K) ... -289 meV per atom
Total magnetization ... 6.09 μB per formula unit
Electronic total energy ... -6.6907 eV per atom

Lattice parameters (Å, degrees): 6.870 6.870 6.870 152.89 152.89 38.71
Atoms (fractional coordinates):
Pu (0.000, 0.000, 0.000)
Mg (0.297, 0.297, 0.000)
Au (0.670, 0.670, 0.000)

***

9.
DFT (PBE-GGA) results for a geometry-optimized Pu2MgAu structure.

ΔH_f (0 K) ... -173 meV per atom
Total magnetization ... 11.57 μB per formula unit
Electronic total energy ... -8.5568 eV per atom

Lattice parameters (Å, degrees): 4.222 4.222 5.053 90.00 90.00 90.00
Atoms (fractional coordinates):
Pu (0.000, 0.500, 0.000)
Pu (0.500, 0.000, 0.000)
Mg (0.000, 0.000, 0.500)
Au (0.500, 0.500, 0.500)

***

10.
DFT (PBE-GGA) results for a geometry-optimized PuMgAu4 structure.

ΔH_f (0 K) ... -386 meV per atom
Total magnetization ... 5.72 μB per formula unit
Electronic total energy ... -5.2250 eV per atom

Lattice parameters (Å, degrees): 4.706 4.706 6.663 90.00 90.00 120.00
Atoms (fractional coordinates):
Pu (0.000, 0.000, 0.000)
Mg (0.000, 0.000, 0.500)
Au (0.333, 0.667, 0.272)
Au (0.333, 0.667, 0.728)
Au (0.667, 0.333, 0.272)
Au (0.667, 0.333, 0.728)

***

11.
DFT (PBE-GGA) results for a geometry-optimized PuMgRuAu structure.

ΔH_f (0 K) ... -148 meV per atom
Total magnetization ... 4.63 μB per formula unit
Electronic total energy ... -7.2682 eV per atom

Lattice parameters (Å, degrees): 4.783 4.783 4.783 60.00 60.00 60.00
Atoms (fractional coordinates):
Pu (0.000, 0.000, 0.000)
Mg (0.500, 0.500, 0.500)
Ru (0.250, 0.250, 0.250)
Au (0.750, 0.750, 0.750)

***

12.
DFT (PBE-GGA) results for a geometry-optimized PuMgSbAu structure.

Total magnetization ... 5.94 μB per formula unit
Electronic total energy ... -6.3106 eV per atom

Lattice parameters (Å, degrees): 5.108 5.108 5.108 60.00 60.00 60.00
Atoms (fractional coordinates):
Pu (0.000, 0.000, 0.000)
Mg (0.500, 0.500, 0.500)
Sb (0.750, 0.750, 0.750)
Au (0.250, 0.250, 0.250)

***

13.
DFT (PBE-GGA) results for a geometry-optimized PuMgSc2Au4 structure.

ΔH_f (0 K) ... -620 meV per atom
Total magnetization ... 5.90 μB per formula unit
Electronic total energy ... -5.8328 eV per atom

Lattice parameters (Å, degrees): 8.661 8.661 8.661 32.27 32.27 32.27
Atoms (fractional coordinates):
Pu (0.000, 0.000, 0.000)
Mg (0.500, 0.500, 0.500)
Sc (0.246, 0.246, 0.246)
Sc (0.754, 0.754, 0.754)
Au (0.127, 0.127, 0.127)
Au (0.387, 0.387, 0.387)
Au (0.613, 0.613, 0.613)
Au (0.873, 0.873, 0.873)

***

14.
DFT (PBE-GGA) results for a geometry-optimized PuMg2ScAu4 structure.

ΔH_f (0 K) ... -599 meV per atom
Total magnetization ... 5.34 μB per formula unit
Electronic total energy ... -5.2196 eV per atom

Lattice parameters (Å, degrees): 8.640 8.640 8.640 32.21 32.21 32.21
Atoms (fractional coordinates):
Pu (0.000, 0.000, 0.000)
Mg (0.246, 0.246, 0.246)
Mg (0.754, 0.754, 0.754)
Sc (0.500, 0.500, 0.500)
Au (0.128, 0.128, 0.128)
Au (0.386, 0.386, 0.386)
Au (0.614, 0.614, 0.614)
Au (0.872, 0.872, 0.872)

***

15.
DFT (PBE-GGA) results for a geometry-optimized Pu2MgSi3Au4 structure.

Total magnetization ... 10.91 μB per formula unit
Electronic total energy ... -6.3590 eV per atom

Lattice parameters (Å, degrees): 4.278 4.278 10.803 90.00 90.00 90.00
Atoms (fractional coordinates):
Pu (0.000, 0.500, 0.235)
Pu (0.500, 0.000, 0.765)
Mg (0.000, 0.000, 0.500)
Si (0.000, 0.500, 0.863)
Si (0.500, 0.000, 0.137)
Si (0.500, 0.500, 0.500)
Au (0.000, 0.000, 0.000)
Au (0.000, 0.500, 0.639)
Au (0.500, 0.000, 0.361)
Au (0.500, 0.500, 0.000)

***

16.
DFT (PBE-GGA) results for a geometry-optimized Pu2MgSi3Au12 structure.

Total magnetization ... 11.13 μB per formula unit
Electronic total energy ... -4.8074 eV per atom

Lattice parameters (Å, degrees): 7.717 7.717 7.717 71.52 71.52 71.52
Atoms (fractional coordinates):
Pu (0.095, 0.095, 0.095)
Pu (0.905, 0.905, 0.905)
Mg (0.500, 0.500, 0.500)
Si (0.000, 0.500, 0.500)
Si (0.500, 0.000, 0.500)
Si (0.500, 0.500, 0.000)
Au (0.126, 0.651, 0.651)
Au (0.192, 0.192, 0.647)
Au (0.192, 0.647, 0.192)
Au (0.349, 0.349, 0.874)
Au (0.349, 0.874, 0.349)
Au (0.353, 0.808, 0.808)
Au (0.647, 0.192, 0.192)
Au (0.651, 0.126, 0.651)
Au (0.651, 0.651, 0.126)
Au (0.808, 0.353, 0.808)
Au (0.808, 0.808, 0.353)
Au (0.874, 0.349, 0.349)

***

17.
DFT (PBE-GGA) results for a geometry-optimized TmPuMg2Au4 structure.

ΔH_f (0 K) ... -623 meV per atom
Total magnetization ... 5.40 μB per formula unit
Electronic total energy ... -5.0106 eV per atom

Lattice parameters (Å, degrees): 8.572 8.572 8.572 33.28 33.28 33.28
Atoms (fractional coordinates):
Tm (0.000, 0.000, 0.000)
Pu (0.500, 0.500, 0.500)
Mg (0.250, 0.250, 0.250)
Mg (0.750, 0.750, 0.750)
Au (0.120, 0.120, 0.120)
Au (0.372, 0.372, 0.372)
Au (0.628, 0.628, 0.628)
Au (0.880, 0.880, 0.880)

***

18.
DFT (PBE-GGA) results for a geometry-optimized YPuMg2Au4 structure.

ΔH_f (0 K) ... -620 meV per atom
Total magnetization ... 5.41 μB per formula unit
Electronic total energy ... -5.2564 eV per atom

Lattice parameters (Å, degrees): 8.533 8.533 8.533 33.79 33.79 33.79
Atoms (fractional coordinates):
Y (0.000, 0.000, 0.000)
Pu (0.500, 0.500, 0.500)
Mg (0.250, 0.250, 0.250)
Mg (0.750, 0.750, 0.750)
Au (0.124, 0.124, 0.124)
Au (0.373, 0.373, 0.373)
Au (0.627, 0.627, 0.627)
Au (0.876, 0.876, 0.876)

***

19.
DFT (PBE-GGA) results for a geometry-optimized PuMg2ZnAu4 structure.

ΔH_f (0 K) ... -420 meV per atom
Total magnetization ... 5.62 μB per formula unit
Electronic total energy ... -4.4083 eV per atom

Lattice parameters (Å, degrees): 9.005 9.005 9.005 29.74 29.74 29.74
Atoms (fractional coordinates):
Pu (0.000, 0.000, 0.000)
Mg (0.240, 0.240, 0.240)
Mg (0.760, 0.760, 0.760)
Zn (0.500, 0.500, 0.500)
Au (0.128, 0.128, 0.128)
Au (0.395, 0.395, 0.395)
Au (0.605, 0.605, 0.605)
Au (0.872, 0.872, 0.872)

***

20.
DFT (PBE-GGA) results for a geometry-optimized PuMgZnAu structure.

ΔH_f (0 K) ... -281 meV per atom
Total magnetization ... 5.58 μB per formula unit
Electronic total energy ... -5.4000 eV per atom

Lattice parameters (Å, degrees): 4.933 4.933 4.933 60.00 60.00 60.00
Atoms (fractional coordinates):
Pu (0.000, 0.000, 0.000)
Mg (0.500, 0.500, 0.500)
Zn (0.250, 0.250, 0.250)
Au (0.750, 0.750, 0.750)